[1]
Ca2Cu3Sb4Pd: relaxed, PBE-GGA.

a = 4.5293 Å, b = 4.5293 Å, c = 10.8794 Å
α = 90.00°, β = 90.00°, γ = 90.00°
Fractional positions:
Ca  0.0000  0.5000  0.7273
Ca  0.5000  0.0000  0.2727
Sb  0.0000  0.5000  0.3670
Sb  0.5000  0.0000  0.6330
Sb  0.5000  0.5000  0.0000
Sb  0.0000  0.0000  0.0000
Cu  0.0000  0.5000  0.1348
Cu  0.0000  0.0000  0.5000
Cu  0.5000  0.0000  0.8652
Pd  0.5000  0.5000  0.5000

Summary:
- Total moment: 0.0 μB per formula unit
- Energy relative to the elements, uncorrected: -0.448 eV/atom
- Space group: No. 115
- Total DFT energy (no corrections): -4.25 eV/atom


[2]
VRhN: relaxed, PBE-GGA.

a = 8.4553 Å, b = 5.5783 Å, c = 2.8292 Å
α = 90.00°, β = 90.00°, γ = 90.00°
Fractional positions:
V  0.7197  0.5000  0.0000
V  0.7803  0.0000  0.0000
V  0.2803  0.5000  0.0000
V  0.2197  0.0000  0.0000
Rh  0.5000  0.7535  0.5000
Rh  0.0000  0.2535  0.5000
Rh  0.5000  0.2465  0.5000
Rh  0.0000  0.7465  0.5000
N  0.7500  0.2500  0.5000
N  0.7500  0.7500  0.5000
N  0.2500  0.2500  0.5000
N  0.2500  0.7500  0.5000

Summary:
- Total moment: 0.0 μB per formula unit
- Energy relative to the elements, uncorrected: -0.579 eV/atom
- Space group: No. 65
- Total DFT energy (no corrections): -8.84 eV/atom
- ΔE to the lowest computed polymorph: 39 meV per atom


[3]
ZnFe2Os: relaxed, PBE-GGA.

a = 2.6654 Å, b = 2.6654 Å, c = 7.2499 Å
α = 90.00°, β = 90.00°, γ = 90.00°
Last column: magnetic moment on the atom in μB.
Fractional positions:
Fe  0.0000  0.0000  0.0121  2.61
Fe  0.5000  0.5000  0.2550  1.13
Zn  0.5000  0.5000  0.7557  -0.04
Os  0.0000  0.0000  0.4773  -0.15

Summary:
- Total moment: 3.5 μB per formula unit
- Energy relative to the elements: 0.13 eV/atom
- Space group: No. 99
- Total DFT energy (no corrections): -7.23 eV/atom


[4]
TcINCl2: relaxed, PBE-GGA.

a = 5.7969 Å, b = 5.1744 Å, c = 5.7969 Å
α = 90.00°, β = 90.00°, γ = 90.00°
Last column: magnetic moment on the atom in μB.
Fractional positions:
Tc  0.0000  0.5000  0.0000  3.20
I  0.0000  0.0000  0.0000  -0.01
Cl  0.0000  0.0000  0.5000  -0.07
Cl  0.5000  0.0000  0.0000  -0.01
N  0.5000  0.5000  0.5000  -1.92

Summary:
- Total moment: 0.8 μB per formula unit
- Energy relative to the elements, uncorrected: 1.728 eV/atom
- Space group: No. 123
- Total DFT energy (no corrections): -3.06 eV/atom


[5]
La2Pm4Pr2Sm: relaxed, PBE-GGA.

a = 3.7189 Å, b = 9.8252 Å, c = 9.8772 Å
α = 115.21°, β = 90.00°, γ = 100.91°
Fractional positions:
La  0.3342  0.6685  0.9996
La  0.6658  0.3315  0.0004
Pr  0.8524  0.7047  0.3341
Pr  0.1476  0.2953  0.6659
Pm  0.5188  0.0377  0.3313
Pm  0.1848  0.3696  0.3340
Pm  0.4812  0.9623  0.6687
Pm  0.8152  0.6304  0.6660
Sm  0.0000  0.0000  0.0000

Summary:
- Total moment: 0.0 μB per formula unit
- Energy relative to the elements: 0.01 eV/atom
- Space group: No. 12
- Total DFT energy (no corrections): -4.78 eV/atom


[6]
NbCd2RuI: relaxed, PBE-GGA.

a = 5.4662 Å, b = 5.0715 Å, c = 5.4662 Å
α = 90.00°, β = 90.00°, γ = 90.00°
Last column: magnetic moment on the atom in μB.
Fractional positions:
Ru  0.5000  0.5000  0.5000  2.23
I  0.0000  0.0000  0.0000  0.00
Nb  0.0000  0.5000  0.0000  -1.02
Cd  0.5000  0.0000  0.0000  -0.03
Cd  0.0000  0.0000  0.5000  0.00

Summary:
- Total moment: 0.9 μB per formula unit
- Energy relative to the elements, uncorrected: 2.004 eV/atom
- Space group: No. 123
- Total DFT energy (no corrections): -2.54 eV/atom


[7]
LiSiN3: relaxed, PBE-GGA.

a = 3.5756 Å, b = 3.5756 Å, c = 3.5756 Å
α = 90.00°, β = 90.00°, γ = 90.00°
Last column: magnetic moment on the atom in μB.
Fractional positions:
N  0.0000  0.5000  0.0000  0.29
N  0.0000  0.0000  0.5000  0.35
N  0.5000  0.0000  0.0000  0.19
Li  0.5000  0.5000  0.5000  0.00
Si  0.0000  0.0000  0.0000  -0.01

Summary:
- Total moment: 1.1 μB per formula unit
- Energy relative to the elements, uncorrected: 0.510 eV/atom
- Space group: No. 221
- Total DFT energy (no corrections): -5.95 eV/atom


[8]
AcTbY2: relaxed, PBE-GGA.

a = 5.1618 Å, b = 5.2118 Å, c = 5.2118 Å
α = 90.00°, β = 90.00°, γ = 90.00°
Fractional positions:
Y  0.0000  0.5000  0.0000
Y  0.0000  0.0000  0.5000
Tb  0.5000  0.0000  0.0000
Ac  0.5000  0.5000  0.5000

Summary:
- Total moment: 0.0 μB per formula unit
- Energy relative to the elements: 0.05 eV/atom
- Space group: No. 123
- Total DFT energy (no corrections): -5.36 eV/atom
- ΔE to the lowest computed polymorph: 10 meV per atom


[9]
Tl2SiW: relaxed, PBE-GGA.

a = 3.0047 Å, b = 5.1812 Å, c = 5.2945 Å
α = 90.00°, β = 90.00°, γ = 90.00°
Fractional positions:
W  0.5000  0.0000  0.5000
Tl  0.0000  0.0000  0.0000
Tl  0.5000  0.5000  0.0000
Si  0.0000  0.5000  0.5000

Summary:
- Total moment: 0.0 μB per formula unit
- Energy relative to the elements, uncorrected: 1.050 eV/atom
- Space group: No. 47
- Total DFT energy (no corrections): -4.73 eV/atom
- ΔE to the lowest computed polymorph: 590 meV per atom


[10]
PrMn9Si4: relaxed, PBE-GGA.

a = 7.8801 Å, b = 7.8801 Å, c = 8.0713 Å
α = 119.22°, β = 119.22°, γ = 90.00°
Last column: magnetic moment on the atom in μB.
Fractional positions:
Pr  0.2500  0.2500  0.5000  -0.08
Pr  0.7500  0.7500  0.5000  -0.08
Mn  0.2057  0.7057  0.6482  1.57
Mn  0.7057  0.4425  0.6482  1.57
Mn  0.1912  0.9423  0.0000  -0.17
Mn  0.4423  0.6912  0.0000  -0.17
Mn  0.2943  0.5575  0.3518  1.57
Mn  0.9423  0.8088  0.0000  -0.17
Mn  0.0577  0.1912  0.0000  -0.17
Mn  0.6912  0.5577  0.0000  -0.17
Mn  0.0000  0.5000  0.0000  1.17
Mn  0.5575  0.0575  0.3518  1.57
Mn  0.4425  0.9425  0.6482  1.57
Mn  0.0575  0.7943  0.3518  1.57
Mn  0.7943  0.2943  0.3518  1.57
Mn  0.9425  0.2057  0.6482  1.57
Mn  0.8088  0.0577  0.0000  -0.17
Mn  0.5000  0.0000  0.0000  1.17
Mn  0.5577  0.3088  0.0000  -0.17
Mn  0.3088  0.4423  0.0000  -0.17
Si  0.7978  0.9449  0.2427  -0.04
Si  0.5551  0.7022  0.7573  -0.04
Si  0.4449  0.2978  0.2427  -0.04
Si  0.0551  0.5551  0.7573  -0.04
Si  0.7022  0.2022  0.7573  -0.04
Si  0.2022  0.0551  0.7573  -0.04
Si  0.2978  0.7978  0.2427  -0.04
Si  0.9449  0.4449  0.2427  -0.04

Summary:
- Total moment: 6.5 μB per formula unit
- Energy relative to the elements, uncorrected: -0.374 eV/atom
- Space group: No. 140
- Total DFT energy (no corrections): -8.16 eV/atom


[11]
HgIr2Ru: relaxed, PBE-GGA.

a = 2.8091 Å, b = 2.8091 Å, c = 8.0338 Å
α = 90.00°, β = 90.00°, γ = 90.00°
Fractional positions:
Hg  0.5000  0.5000  0.7475
Ir  0.0000  0.0000  0.0230
Ir  0.5000  0.5000  0.2549
Ru  0.0000  0.0000  0.4746

Summary:
- Total moment: 0.0 μB per formula unit
- Energy relative to the elements: 0.30 eV/atom
- Space group: No. 99
- Total DFT energy (no corrections): -6.52 eV/atom


[12]
Rb4In2Au3: relaxed, PBE-GGA.

a = 4.2811 Å, b = 8.6240 Å, c = 10.2420 Å
α = 107.68°, β = 102.06°, γ = 90.00°
Fractional positions:
Rb  0.2530  0.7151  0.5059
Rb  0.5655  0.8858  0.1310
Rb  0.7470  0.2849  0.4941
Rb  0.4345  0.1142  0.8690
Au  0.0979  0.2610  0.1958
Au  0.9021  0.7390  0.8042
Au  0.0000  0.5000  0.0000
In  0.5925  0.4774  0.1849
In  0.4075  0.5226  0.8151

Summary:
- Total moment: 0.1 μB per formula unit
- Energy relative to the elements: -0.20 eV/atom
- Space group: No. 12
- Total DFT energy (no corrections): -2.33 eV/atom